No. 1
SmDy2Ag2Sn2: optimized geometry, PBE-GGA.

Cell and atoms, written as POSCAR:
```
SmDy2Ag2Sn2
1.0
-3.864 2.407 -1.742
-3.527 -2.419 -2.339
-6.610 -1.222 6.150
Sm Dy Ag Sn
1 2 2 2
Cartesian
0.000 0.000 0.000 Sm
-4.936 -0.730 3.118 Dy
-9.064 -0.503 -1.050 Dy
-6.231 -0.390 -0.360 Ag
-7.770 -0.843 2.428 Ag
-10.679 -0.978 1.876 Sn
-3.321 -0.256 0.192 Sn
```

Formation energy from the elements: -425.2 meV per atom
Density of states at the Fermi level: 3.4 states/eV/f.u.
Symmetry: No. 166

---

No. 2
InTe2P: optimized geometry, PBE-GGA.

Cell and atoms, written as POSCAR:
```
InTe2P
1.0
-0.417 -4.095 0.586
4.330 -0.785 -2.407
4.560 0.108 4.001
In P Te
1 1 2
Cartesian
4.656 -0.369 0.737 In
6.568 -2.605 1.214 P
8.379 -0.637 1.509 Te
2.205 -2.176 1.111 Te
```

Distance to the lowest polymorph of the same formula: 0.000 eV/atom
Density of states at the Fermi level: 0.2 states/eV/f.u.
Formation energy from raw total energies: 0.024 eV/atom
Symmetry: No. 6

---

No. 3
CrCuTc2: optimized geometry, PBE-GGA.

Cell and atoms, written as POSCAR:
```
CrCuTc2
1.0
8.776 -0.016 -0.009
8.369 2.640 -0.009
8.369 1.281 2.309
Cr Cu Tc
1 1 2
Cartesian
6.379 0.976 0.572 Cr
19.136 2.929 1.717 Cu
25.426 3.892 2.282 Tc
12.846 1.966 1.153 Tc
```

Distance to the lowest polymorph of the same formula: 0.014 eV/atom
Formation energy from the elements: 209.2 meV per atom
Density of states at the Fermi level: 3.7 states/eV/f.u.
Symmetry: No. 166

---

No. 4
Nb2VRh9: optimized geometry, PBE-GGA.

Cell and atoms, written as POSCAR:
```
Nb2VRh9
1.0
3.876 0.000 0.000
0.000 3.876 0.000
0.000 0.000 11.615
Nb V Rh
2 1 9
Cartesian
0.000 0.000 3.845 Nb
0.000 0.000 7.770 Nb
0.000 0.000 0.000 V
1.938 1.938 0.000 Rh
1.938 1.938 3.844 Rh
1.938 1.938 7.772 Rh
1.938 0.000 1.864 Rh
1.938 0.000 5.808 Rh
1.938 0.000 9.752 Rh
0.000 1.938 1.864 Rh
0.000 1.938 5.808 Rh
0.000 1.938 9.752 Rh
```

Formation energy from the elements: -465.9 meV per atom
Density of states at the Fermi level: 9.2 states/eV/f.u.
Symmetry: No. 123

---

No. 5
Li2LaSmTl4: optimized geometry, PBE-GGA.

Cell and atoms, written as POSCAR:
```
Li2LaSmTl4
1.0
-4.533 -2.712 -0.426
-0.323 -4.937 1.900
-4.207 0.573 8.165
Li La Sm Tl
2 1 1 4
Cartesian
-6.789 -5.317 7.204 Li
-2.274 -1.759 2.434 Li
0.000 0.000 0.000 La
-4.531 -3.538 4.819 Sm
-5.486 -2.387 7.648 Tl
-5.840 -6.461 4.391 Tl
-3.223 -0.614 5.248 Tl
-3.577 -4.689 1.990 Tl
```

Formation energy from the elements: -345.6 meV per atom
Density of states at the Fermi level: 1.9 states/eV/f.u.
Symmetry: No. 166

---

No. 6
CdPCl2: optimized geometry, PBE-GGA.

Cell and atoms, written as POSCAR:
```
CdPCl2
1.0
-0.769 2.501 2.605
-1.954 -3.120 -0.283
5.689 -4.069 5.586
Cd Cl P
1 2 1
Cartesian
2.811 -3.293 5.258 Cd
5.290 -3.783 5.194 Cl
0.500 -1.641 2.989 Cl
2.899 -2.074 2.847 P
```

Distance to the lowest polymorph of the same formula: 0.356 eV/atom
Density of states at the Fermi level: 2.1 states/eV/f.u.
Formation energy from raw total energies: -0.039 eV/atom
Symmetry: No. 35

---

No. 7
Ac2LaSm4: optimized geometry, PBE-GGA.

Cell and atoms, written as POSCAR:
```
Ac2LaSm4
1.0
8.893 1.239 -4.189
-2.615 5.524 -2.233
-1.026 0.944 9.844
Ac Sm La
4 8 2
Cartesian
0.831 5.500 3.459 Ac
3.538 2.868 3.202 Ac
6.264 3.088 0.563 Ac
0.060 4.870 -0.285 Ac
7.097 3.629 4.211 Sm
-1.852 5.310 5.993 Sm
3.607 5.737 0.742 Sm
0.018 2.019 2.145 Sm
2.705 2.232 -0.470 Sm
2.763 5.126 -2.825 Sm
0.829 2.645 5.878 Sm
6.245 5.970 -1.829 Sm
5.385 2.535 -3.023 La
4.385 6.344 4.397 La
```

Distance to the lowest polymorph of the same formula: 0.000 eV/atom
Formation energy from the elements: 41.3 meV per atom
Density of states at the Fermi level: 12.3 states/eV/f.u.
Symmetry: No. 1

---

No. 8
CaPuPb6: optimized geometry, PBE-GGA.

Cell and atoms, written as POSCAR:
```
CaPuPb6
1.0
4.900 0.000 0.000
0.000 4.900 0.000
0.000 0.000 9.818
Ca Pu Pb
1 1 6
Cartesian
0.000 0.000 0.000 Ca
0.000 0.000 4.909 Pu
2.450 2.450 0.000 Pb
2.450 2.450 4.909 Pb
2.450 0.000 2.473 Pb
2.450 0.000 7.345 Pb
0.000 2.450 2.473 Pb
0.000 2.450 7.345 Pb
```

Formation energy from the elements: -237.6 meV per atom
Density of states at the Fermi level: 15.0 states/eV/f.u.
Symmetry: No. 123